DFT (PBE-GGA) results for crystalline ScSbBr3 at its relaxed geometry.

Fermi-level density of states = 18.0 states/eV per cell
polymorph energy (0 for the lowest one) = 746 meV per atom
symmetry = Pm-3m, No. 221

Cell: 5.7026 5.7026 5.7026 Å, 90.00 90.00 90.00°
Last column: nearest neighbours and their distance in Å.
Element x y z (fractional)
Sc (0.5000, 0.5000, 0.5000)  12 Br 4.03
Sb (0.0000, 0.0000, 0.0000)  6 Br 2.85
Br (0.0000, 0.5000, 0.0000)  2 Sb 2.85
Br (0.0000, 0.0000, 0.5000)  2 Sb 2.85
Br (0.5000, 0.0000, 0.0000)  2 Sb 2.85